## Ac2NbO5 (PBE)

Data for a geometry-optimized Ac2NbO5 structure.

Total energy   -8.350 eV/atom
Uncorrected formation energy   -2965 meV per atom

Structure (extended XYZ):
```
8
Lattice="4.1195 -0.0045 -1.7643 -2.7110 5.1587 -0.6496 0.3523 0.3744 6.5020" Properties=species:S:1:pos:R:3 pbc="T T T"
Ac 0.3679 3.7785 0.4551
Ac 1.7772 2.0582 3.7384
Nb 0.1930 0.1540 0.0523
O 2.0910 3.5889 -1.2126
O 0.8090 1.4080 1.4944
O 1.3332 4.4286 2.7004
O 0.0544 2.2477 5.4061
O 2.2503 0.1517 -0.8288
```